# 1
UZn4Re | Alexandria via LeMat-Bulk | PBE-GGA | relaxed; SG = F-43m; formation energy = 0.15 eV per atom; E = -4.65 eV/atom
1.0
0.000 3.641 3.641
3.641 0.000 3.641
3.641 3.641 0.000
U Zn Re
1 4 1
direct
0.000 0.000 0.000 U
0.376 0.376 0.376 Zn
0.376 0.376 0.871 Zn
0.376 0.871 0.376 Zn
0.871 0.376 0.376 Zn
0.750 0.750 0.750 Re


# 2
HgTePt2 | Alexandria via LeMat-Bulk | PBE-GGA | relaxed; formation energy without anion corrections = 0.34 eV/atom; SG = F-43m; E = -3.54 eV/atom
1.0
0.000 3.396 3.396
3.396 0.000 3.396
3.396 3.396 0.000
Hg Te Pt
1 1 2
direct
0.000 0.000 0.000 Hg
0.750 0.750 0.750 Te
0.250 0.250 0.250 Pt
0.500 0.500 0.500 Pt


Question: Number 2 is which compound?
Answer: HgTePt2


Question: What is the E in the second record?
Answer: -3.54 eV/atom


Please write out number 2 again, unchanged.
HgTePt2 | Alexandria via LeMat-Bulk | PBE-GGA | relaxed; formation energy without anion corrections = 0.34 eV/atom; SG = F-43m; E = -3.54 eV/atom
1.0
0.000 3.396 3.396
3.396 0.000 3.396
3.396 3.396 0.000
Hg Te Pt
1 1 2
direct
0.000 0.000 0.000 Hg
0.750 0.750 0.750 Te
0.250 0.250 0.250 Pt
0.500 0.500 0.500 Pt